Ca3NbN: optimized geometry, PBE.

Lattice parameters (Å, degrees): 5.5456 5.5456 5.5456 90.00 90.00 90.00
Closest atoms and distances in Å follow each position.
Space group Pm-3m (No. 221)
Inequivalent atoms, fractional coordinates:
Ca  0.0000  0.0000  0.5000 (multiplicity 3)  2 Nb 2.77
Nb  0.0000  0.0000  0.0000 (multiplicity 1)  6 Ca 2.77
N  0.5000  0.5000  0.5000 (multiplicity 1)  12 Ca 3.92

Calculated values
* VASP energy: -15.4 eV for the cell shown


CaNb4N6: optimized geometry, PBE.

Lattice parameters (Å, degrees): 3.1095 10.3792 16.0795 90.00 90.00 90.00
Closest atoms and distances in Å follow each position.
Space group Cmcm (No. 63)
Inequivalent atoms, fractional coordinates:
Ca  0.0000  0.1525  0.2500 (multiplicity 4)  6 N 2.44-2.50
Nb  0.0000  0.1039  0.6346 (multiplicity 8)  5 N 1.97-2.16
Nb  0.0000  0.3592  0.5443 (multiplicity 8)  5 N 2.08-2.25
N  0.0000  0.0000  0.0000 (multiplicity 4)  6 Nb 2.25-2.42
N  0.0000  0.1664  0.7500 (multiplicity 4)  2 Nb 1.97
N  0.0000  0.2692  0.0894 (multiplicity 8)  5 Nb 2.16-2.35
N  0.0000  0.4648  0.6546 (multiplicity 8)  3 Nb 2.08-2.15

Calculated values
* VASP energy: -413.0 eV for the cell shown


CaNbN: optimized geometry, PBE.

Lattice parameters (Å, degrees): 3.6049 3.6049 8.9056 90.00 90.00 90.00
Closest atoms and distances in Å follow each position.
Space group P4/nmm (No. 129, origin choice 2)
Inequivalent atoms, fractional coordinates:
Ca  0.2500  0.2500  0.1902 (multiplicity 2)  4 N 2.84
Nb  0.2500  0.7500  0.5000 (multiplicity 2)  4 N 2.35, 4 Nb 2.55
N  0.2500  0.2500  0.6689 (multiplicity 2)  4 Nb 2.35

Calculated values
* VASP energy: -42.7 eV for the cell shown


Ca3Nb2N4: optimized geometry, PBE.

Lattice parameters (Å, degrees): 14.9006 7.9520 5.3773 90.00 93.37 90.00
Closest atoms and distances in Å follow each position.
Space group C2/c (No. 15)
Inequivalent atoms, fractional coordinates:
Ca  0.0000  0.1036  0.2500 (multiplicity 4)  4 N 2.40-2.48
Ca  0.1333  0.3757  0.5069 (multiplicity 8)  3 N 2.38-2.51
Nb  0.1896  0.1047  0.9337 (multiplicity 8)  4 N 1.98-2.17
N  0.1145  0.0756  0.6020 (multiplicity 8)  2 Nb 2.06
N  0.1681  0.3334  0.0610 (multiplicity 8)  2 Nb 1.98-2.17

Calculated values
* VASP energy: -266.5 eV for the cell shown